VASP calculation (GGA+U) on a relaxed NiPdO2 crystal.

Values from the calculation:
The value obtained for the density of states at the Fermi level is 0.989 states/eV/atom. The energy comes out at -65.11 eV for the cell shown.

CIF file:
```
data_NiPdO2
_chemical_formula_sum 'Ni4 Pd4 O8'
_symmetry_space_group_name_H-M 'F m -3 m'
_symmetry_Int_Tables_number 225
_symmetry_space_group_name_Hall '-F 4 2 3'
_cell_length_a 5.449
_cell_length_b 5.449
_cell_length_c 5.449
_cell_angle_alpha 90.00
_cell_angle_beta 90.00
_cell_angle_gamma 90.00
loop_
_atom_site_label
_atom_site_type_symbol
_atom_site_fract_x
_atom_site_fract_y
_atom_site_fract_z
Ni1 Ni 0.000 0.000 0.000
Pd1 Pd 0.000 0.000 0.500
O1 O 0.250 0.250 0.250
```